1.
First-principles (PBE-GGA) data for a relaxed K2BeMo crystal, as listed in Alexandria.

a b c (Å): 6.6507 6.6507 2.7392
angles (deg): 79.32 79.32 127.03
Last column: nearest neighbours and their distance in Å.
Fractional coordinates of all 4 atoms:
K  0.5000  0.5000  0.0000  4 K 2.74-2.97
Mo  0.5000  0.0000  0.5000  2 Mo 2.74, 2 Be 2.97
Be  0.0000  0.5000  0.5000  2 Be 2.74, 2 Mo 2.97
K  0.0000  0.0000  0.0000  4 K 2.74-2.97

Properties
The calculated formation energy is 1.49 eV/atom.

***

2.
First-principles (PBE-GGA) data for a relaxed LiHgAsBr2 crystal, as listed in Alexandria.

a b c (Å): 5.8915 5.8915 5.1788
angles (deg): 90.00 90.00 90.00
Last column: nearest neighbours and their distance in Å.
Fractional coordinates of all 5 atoms:
As  0.0000  0.0000  0.5000  2 Hg 2.59
Br  0.5000  0.0000  0.0000  2 Hg 2.95
Br  0.0000  0.5000  0.0000  2 Hg 2.95
Hg  0.0000  0.0000  0.0000  2 As 2.59
Li  0.5000  0.5000  0.5000  8 Br 3.92, 4 As 4.17

Properties
The calculation puts the energy above the most stable polymorph in this dataset at 0 meV/atom. As for the uncorrected formation energy: -0.057 eV per formula unit.